Compound: HgH8C2Br3N
Source: the Alexandria database
Functional: SCAN
Structure: single point on PBEsol structure

```
HgH8C2Br3N
1.0
6.230 0.000 0.000
0.000 6.927 -0.066
0.000 -1.251 10.235
Br C H Hg N
6 4 16 2 2
Cartesian
1.558 2.884 6.588 Br
4.673 2.791 3.581 Br
4.673 1.853 9.098 Br
1.558 3.822 1.070 Br
1.558 -0.875 8.932 Br
4.673 6.551 1.237 Br
4.673 5.143 6.484 C
1.558 0.532 3.684 C
4.673 -0.353 6.069 C
1.558 6.028 4.099 C
4.673 4.081 8.304 H
1.558 1.594 1.864 H
3.820 5.530 8.373 H
0.705 0.145 1.796 H
2.410 0.145 1.796 H
5.525 5.530 8.373 H
5.563 4.588 6.144 H
2.448 1.087 4.025 H
0.668 1.087 4.025 H
3.783 4.588 6.144 H
4.673 -0.335 4.967 H
1.558 6.010 5.201 H
3.780 0.197 6.414 H
0.664 5.478 3.754 H
2.451 5.478 3.754 H
5.566 0.197 6.414 H
1.558 1.747 8.819 Hg
4.673 3.929 1.349 Hg
4.673 5.074 7.972 N
1.558 0.601 2.196 N
```

Calculated values
Volume = 14.71 A^3/atom
Total energy = -378.97 eV/cell